No. 1
Material: Tb2Sm4HoEr
Method: DFT, PBE
State: relaxed

## Properties
DFT formation energy: 0.02 eV/atom
density of states at the Fermi level: 1.350 states/eV/atom
theoretical density: 8.0 g/cm³

a = 6.204 Å, b = 3.588 Å, c = 11.852 Å
α = 90.00°, β = 100.17°, γ = 90.00°
Fractional coordinates of all 8 atoms:
Tb1 0.000 0.000 0.000
Tb2 0.000 0.500 0.500
Sm1 0.250 0.000 0.750
Sm2 0.250 0.500 0.251
Sm3 0.750 0.000 0.250
Sm4 0.750 0.500 0.749
Ho1 0.500 0.500 0.000
Er1 0.500 0.000 0.500


No. 2
Material: La2In8Ni
Method: DFT, PBE
State: relaxed

## Properties
DFT formation energy: -0.39 eV/atom
density of states at the Fermi level: 0.582 states/eV/atom
theoretical density: 7.4 g/cm³

a = 4.732 Å, b = 4.732 Å, c = 12.505 Å
α = 90.00°, β = 90.00°, γ = 90.00°
Fractional coordinates of all 11 atoms:
La1 0.000 0.000 0.196
La2 0.000 0.000 0.804
In1 0.000 0.500 0.000
In2 0.000 0.500 0.383
In3 0.000 0.500 0.617
In4 0.500 0.000 0.000
In5 0.500 0.000 0.383
In6 0.500 0.000 0.617
In7 0.500 0.500 0.192
In8 0.500 0.500 0.808
Ni1 0.000 0.000 0.500


| no. | M_tot (μB/f.u.) |
| --- | --- |
| 1 | 0.00 |
| 2 | 0.00 |